No. 1
Entry from the Alexandria database: a relaxed Tb9Y2Tm3 crystal (PBE).

Output
**Space group**: P-1, No. 2
**N(E_F)**: 21.74 states/eV/f.u.
**Formation enthalpy at 0 K**: 0.123 eV per atom

Structure (POSCAR):
```
Tb9Y2Tm3
1.0
5.868 -0.053 1.967
3.335 10.366 5.091
3.659 3.024 9.825
Tb Y Tm
9 2 3
direct
0.000 0.500 0.500
0.680 0.005 0.661
0.320 0.995 0.339
0.575 0.603 0.013
0.425 0.397 0.987
0.777 0.806 0.506
0.223 0.194 0.494
0.239 0.581 0.669
0.761 0.419 0.331
0.515 0.202 0.828
0.485 0.798 0.172
0.000 0.000 0.000
0.871 0.223 0.156
0.129 0.777 0.844
```

No. 2
Entry from the Alexandria database: a relaxed CeScBi3 crystal (PBE).

Output
**Space group**: Pbcm, No. 57
**N(E_F)**: 8.38 states/eV/f.u.
**Formation enthalpy at 0 K**: -0.557 eV per atom

Structure (POSCAR):
```
CeScBi3
1.0
-5.970 0.223 3.069
-2.963 -0.906 -5.697
0.475 -13.573 1.912
Ce Sc Bi
4 4 12
direct
0.750 0.490 0.684
0.250 0.510 0.316
0.750 0.990 0.316
0.250 0.010 0.684
0.500 0.250 0.097
0.000 0.750 0.903
0.500 0.750 0.903
0.000 0.250 0.097
0.000 0.250 0.497
0.500 0.750 0.503
0.000 0.750 0.503
0.500 0.250 0.497
0.250 0.129 0.924
0.750 0.871 0.076
0.250 0.629 0.076
0.750 0.371 0.924
0.250 0.507 0.751
0.750 0.493 0.249
0.250 0.007 0.249
0.750 0.993 0.751
```

No. 3
Entry from the Alexandria database: a relaxed TbPm2Ag crystal (PBE).

Output
**Space group**: Cmcm, No. 63
**N(E_F)**: 5.25 states/eV/f.u.
**Formation enthalpy at 0 K**: -0.115 eV per atom

Structure (POSCAR):
```
TbPm2Ag
1.0
3.744 -0.159 0.000
-1.609 6.312 0.000
0.000 0.000 10.143
Tb Pm Ag
2 4 2
direct
0.444 0.887 0.250
0.556 0.113 0.750
0.133 0.263 0.453
0.867 0.737 0.547
0.867 0.737 0.953
0.133 0.263 0.047
0.744 0.487 0.250
0.256 0.513 0.750
```